The following is a DFT calculation (PBE+U) of Cd2SnWO after structural relaxation.

a b c (Å): 5.730 3.795 5.730
angles (deg): 90.00 90.00 90.00
Site moments in Bohr magnetons follow the coordinates.
Atoms (fractional coordinates):
O1 0.000 0.500 0.000  -0.04
Sn1 0.500 0.500 0.500  -0.02
W1 0.000 0.000 0.000  0.97
Cd1 0.000 0.000 0.500  0.00
Cd2 0.500 0.000 0.000  -0.02

Volume   125 Å³/f.u.
SG   No. 123
Energy   -3.57 eV/atom